VASP calculation (GGA-PBE) on Ti2V3H8 after structural relaxation.

Properties
ΔE to the lowest computed polymorph, eV/atom: 0.007
VASP energy, hartree per atom: -0.2058

Cell and atoms, written as CIF:
```
data_Ti2V3H8
_chemical_formula_sum 'Ti2 V3 H8'
_symmetry_space_group_name_H-M 'P 1 2/m 1'
_symmetry_Int_Tables_number 10
_symmetry_space_group_name_Hall '-P 2y'
_cell_length_a 4.918
_cell_length_b 2.979
_cell_length_c 7.179
_cell_angle_alpha 90.00
_cell_angle_beta 108.30
_cell_angle_gamma 90.00
loop_
_atom_site_label
_atom_site_type_symbol
_atom_site_fract_x
_atom_site_fract_y
_atom_site_fract_z
Ti1 Ti 0.239 0.000 0.295
V1 V 0.266 0.500 0.687
V2 V 0.500 0.000 0.000
H1 H 0.120 0.500 0.408
H2 H 0.164 0.000 0.804
H3 H 0.362 0.000 0.576
H4 H 0.371 0.500 0.139
```